Here is a relaxed structure of Dy6Tl5Bi from the Alexandria database. Energies are from GGA-PBE.

Calculated values
Energy of formation in eV/atom: -0.3759
DOS(E_F) in states/eV/f.u.: 9.126
SG: Cmmm, No. 65
DFT total energy in eV per cell: -47.84

Unit cell a=8.029 b=8.029 c=8.577 alpha=90.00 beta=90.00 gamma=143.28
Positions (direct):
Dy (0.000, 0.000, 0.247)
Dy (0.000, 0.000, 0.753)
Dy (0.333, 0.667, 0.246)
Dy (0.333, 0.667, 0.754)
Dy (0.667, 0.333, 0.246)
Dy (0.667, 0.333, 0.754)
Tl (0.166, 0.834, 0.000)
Tl (0.173, 0.827, 0.500)
Tl (0.500, 0.500, 0.000)
Tl (0.827, 0.173, 0.500)
Tl (0.834, 0.166, 0.000)
Bi (0.500, 0.500, 0.500)